(1)
# GdTmLu6, optimized geometry, DFT PBE
data_GdTmLu6
_cell_length_a 7.050
_cell_length_b 7.050
_cell_length_c 5.488
_cell_angle_alpha 90.00
_cell_angle_beta 90.00
_cell_angle_gamma 120.00
_space_group_name_H-M_alt 'P 1'
_space_group_IT_number 1
_space_group_name_Hall 'P 1'
loop_
_atom_site_label
_atom_site_type_symbol
_atom_site_fract_x
_atom_site_fract_y
_atom_site_fract_z
Lu1 Lu 0.998 0.499 0.500
Tm1 Tm 0.333 0.667 0.000
Lu2 Lu 0.501 0.499 0.500
Lu3 Lu 0.832 0.665 0.000
Lu4 Lu 0.832 0.168 0.000
Lu5 Lu 0.335 0.168 0.000
Gd1 Gd 0.000 0.000 0.500
Lu6 Lu 0.501 0.002 0.500
# Space-group type: P-6m2
# Energy relative to the elements, eV per formula unit: 0.0
# Magnetization, μB per formula unit: 0.08



(2)
# Tm3In3AgPt2, optimized geometry, DFT PBE
data_Tm3In3AgPt2
_cell_length_a 7.769
_cell_length_b 7.769
_cell_length_c 3.736
_cell_angle_alpha 90.00
_cell_angle_beta 90.00
_cell_angle_gamma 120.00
_space_group_name_H-M_alt 'P 1'
_space_group_IT_number 1
_space_group_name_Hall 'P 1'
loop_
_atom_site_label
_atom_site_type_symbol
_atom_site_fract_x
_atom_site_fract_y
_atom_site_fract_z
Tm1 Tm 0.000 0.590 0.500
Pt1 Pt 0.333 0.667 0.000
Tm2 Tm 0.590 0.000 0.500
Pt2 Pt 0.667 0.333 0.000
In1 In 0.731 0.731 0.000
In2 In 0.000 0.269 0.000
Tm3 Tm 0.410 0.410 0.500
Ag1 Ag 0.000 0.000 0.500
In3 In 0.269 0.000 0.000
# Space-group type: P-62m
# Total DFT energy (no corrections), eV/atom: -4.883
# Magnetization, μB per formula unit: 0.01



(3)
# Zn3CdSe4, optimized geometry, DFT PBE
data_Zn3CdSe4
_cell_length_a 5.839
_cell_length_b 5.839
_cell_length_c 5.839
_cell_angle_alpha 90.00
_cell_angle_beta 90.00
_cell_angle_gamma 90.00
_space_group_name_H-M_alt 'P 1'
_space_group_IT_number 1
_space_group_name_Hall 'P 1'
loop_
_atom_site_label
_atom_site_type_symbol
_atom_site_fract_x
_atom_site_fract_y
_atom_site_fract_z
Zn1 Zn 0.500 0.500 0.000
Zn2 Zn 0.000 0.500 0.500
Se1 Se 0.739 0.261 0.739
Se2 Se 0.261 0.739 0.739
Cd1 Cd 0.000 0.000 0.000
Se3 Se 0.739 0.739 0.261
Se4 Se 0.261 0.261 0.261
Zn3 Zn 0.500 0.000 0.500
# Space-group type: P-43m
# Total DFT energy (no corrections), eV/atom: -3.013



(4)
# NdNpTc, optimized geometry, DFT PBE
data_NdNpTc
_cell_length_a 4.589
_cell_length_b 4.589
_cell_length_c 4.589
_cell_angle_alpha 60.00
_cell_angle_beta 60.00
_cell_angle_gamma 60.00
_space_group_name_H-M_alt 'P 1'
_space_group_IT_number 1
_space_group_name_Hall 'P 1'
loop_
_atom_site_label
_atom_site_type_symbol
_atom_site_fract_x
_atom_site_fract_y
_atom_site_fract_z
Nd1 Nd 0.250 0.250 0.250
Np1 Np 0.000 0.000 0.000
Tc1 Tc 0.750 0.750 0.750
# Space-group type: F-43m
# Energy relative to the elements, eV per formula unit: 3.4
# Magnetization, μB per formula unit: 0.01
# ΔE to the lowest computed polymorph, eV per atom: 0.000



(5)
# LiLuNb, optimized geometry, DFT PBE
data_LiLuNb
_cell_length_a 4.772
_cell_length_b 4.772
_cell_length_c 4.772
_cell_angle_alpha 60.00
_cell_angle_beta 60.00
_cell_angle_gamma 60.00
_space_group_name_H-M_alt 'P 1'
_space_group_IT_number 1
_space_group_name_Hall 'P 1'
loop_
_atom_site_label
_atom_site_type_symbol
_atom_site_fract_x
_atom_site_fract_y
_atom_site_fract_z
Lu1 Lu 0.000 0.000 0.000
Li1 Li 0.500 0.500 0.500
Nb1 Nb 0.250 0.250 0.250
# Space-group type: F-43m
# Magnetization, μB per formula unit: 2.95
# ΔE to the lowest computed polymorph, eV per atom: 0.000



(6)
# TaNbH2Ir, optimized geometry, DFT PBE
data_TaNbH2Ir
_cell_length_a 6.770
_cell_length_b 6.770
_cell_length_c 6.770
_cell_angle_alpha 155.00
_cell_angle_beta 155.00
_cell_angle_gamma 35.64
_space_group_name_H-M_alt 'P 1'
_space_group_IT_number 1
_space_group_name_Hall 'P 1'
loop_
_atom_site_label
_atom_site_type_symbol
_atom_site_fract_x
_atom_site_fract_y
_atom_site_fract_z
Ta1 Ta 0.647 0.647 0.000
Ir1 Ir 0.002 0.002 0.000
H1 H 0.248 0.748 0.500
H2 H 0.748 0.248 0.500
Nb1 Nb 0.354 0.354 0.000
# Space-group type: I4mm
# Total DFT energy (no corrections), eV/atom: -7.872
# Magnetization, μB per formula unit: 0.00



(7)
# SmMgIn, optimized geometry, DFT PBE
data_SmMgIn
_cell_length_a 5.121
_cell_length_b 5.121
_cell_length_c 5.121
_cell_angle_alpha 60.00
_cell_angle_beta 60.00
_cell_angle_gamma 60.00
_space_group_name_H-M_alt 'P 1'
_space_group_IT_number 1
_space_group_name_Hall 'P 1'
loop_
_atom_site_label
_atom_site_type_symbol
_atom_site_fract_x
_atom_site_fract_y
_atom_site_fract_z
Sm1 Sm 0.000 0.000 0.000
In1 In 0.250 0.250 0.250
Mg1 Mg 0.750 0.750 0.750
# Space-group type: F-43m
# Total DFT energy (no corrections), eV/atom: -2.820
# Magnetization, μB per formula unit: 0.00



(8)
# ScTaAsO, optimized geometry, DFT PBE
data_ScTaAsO
_cell_length_a 3.524
_cell_length_b 6.060
_cell_length_c 6.304
_cell_angle_alpha 90.00
_cell_angle_beta 90.00
_cell_angle_gamma 90.00
_space_group_name_H-M_alt 'P 1'
_space_group_IT_number 1
_space_group_name_Hall 'P 1'
loop_
_atom_site_label
_atom_site_type_symbol
_atom_site_fract_x
_atom_site_fract_y
_atom_site_fract_z
O1 O 0.500 0.283 0.409
Ta1 Ta 0.500 0.424 0.104
As1 As 0.000 0.305 0.819
Ta2 Ta 0.500 0.576 0.604
As2 As 0.000 0.695 0.319
O2 O 0.500 0.717 0.909
Sc1 Sc 0.000 0.121 0.422
Sc2 Sc 0.000 0.879 0.922
# Space-group type: Pmc2_1
# Magnetization, μB per formula unit: 0.01
# ΔE to the lowest computed polymorph, eV per atom: 0.169



(9)
# SmDyTlCo2, optimized geometry, DFT PBE
data_SmDyTlCo2
_cell_length_a 3.930
_cell_length_b 7.285
_cell_length_c 7.285
_cell_angle_alpha 30.65
_cell_angle_beta 90.00
_cell_angle_gamma 90.00
_space_group_name_H-M_alt 'P 1'
_space_group_IT_number 1
_space_group_name_Hall 'P 1'
loop_
_atom_site_label
_atom_site_type_symbol
_atom_site_fract_x
_atom_site_fract_y
_atom_site_fract_z
Sm1 Sm 0.500 0.361 0.361
Tl1 Tl 0.000 0.003 0.003
Dy1 Dy 0.500 0.640 0.640
Co1 Co 0.000 0.789 0.789
Co2 Co 0.000 0.206 0.206
# Space-group type: Amm2
# Total DFT energy (no corrections), eV/atom: -5.443
# Magnetization, μB per formula unit: 1.36



(10)
# RbBW, optimized geometry, DFT PBE
data_RbBW
_cell_length_a 4.410
_cell_length_b 4.410
_cell_length_c 4.410
_cell_angle_alpha 60.00
_cell_angle_beta 60.00
_cell_angle_gamma 60.00
_space_group_name_H-M_alt 'P 1'
_space_group_IT_number 1
_space_group_name_Hall 'P 1'
loop_
_atom_site_label
_atom_site_type_symbol
_atom_site_fract_x
_atom_site_fract_y
_atom_site_fract_z
W1 W 0.000 0.000 0.000
B1 B 0.250 0.250 0.250
Rb1 Rb 0.750 0.750 0.750
# Space-group type: F-43m
# Magnetization, μB per formula unit: 2.00
# ΔE to the lowest computed polymorph, eV per atom: 0.116



(11)
# NdSmSi2Br2, optimized geometry, DFT PBE
data_NdSmSi2Br2
_cell_length_a 4.110
_cell_length_b 4.110
_cell_length_c 11.335
_cell_angle_alpha 90.00
_cell_angle_beta 90.00
_cell_angle_gamma 120.00
_space_group_name_H-M_alt 'P 1'
_space_group_IT_number 1
_space_group_name_Hall 'P 1'
loop_
_atom_site_label
_atom_site_type_symbol
_atom_site_fract_x
_atom_site_fract_y
_atom_site_fract_z
Br1 Br 0.333 0.667 0.661
Br2 Br 0.667 0.333 0.342
Si1 Si 0.667 0.333 0.991
Nd1 Nd 0.000 0.000 0.175
Si2 Si 0.333 0.667 0.005
Sm1 Sm 0.000 0.000 0.825
# Space-group type: P3m1
# Total DFT energy (no corrections), eV/atom: -5.196
# Magnetization, μB per formula unit: 0.00



(12)
# NaCoSi, optimized geometry, DFT PBE
data_NaCoSi
_cell_length_a 4.089
_cell_length_b 4.089
_cell_length_c 4.089
_cell_angle_alpha 60.00
_cell_angle_beta 60.00
_cell_angle_gamma 60.00
_space_group_name_H-M_alt 'P 1'
_space_group_IT_number 1
_space_group_name_Hall 'P 1'
loop_
_atom_site_label
_atom_site_type_symbol
_atom_site_fract_x
_atom_site_fract_y
_atom_site_fract_z
Si1 Si 0.750 0.750 0.750
Co1 Co 0.000 0.000 0.000
Na1 Na 0.250 0.250 0.250
# Space-group type: F-43m
# Magnetization, μB per formula unit: 0.00
# ΔE to the lowest computed polymorph, eV per atom: 0.000